Entry from Alexandria via LeMat-Bulk: a relaxed structure of SmHgTe (GGA-PBE).

Summary:
mass density: 9.130 g/cm3
Fermi-level density of states: 6.81 states/eV/cell
uncorrected formation energy: -0.92 eV per atom
calculated total energy: -3.638 eV/atom

a b c (Å): 4.396 4.397 18.012
angles (deg): 90.00 90.00 90.00
Fractional positions:
1 Te 0.249 0.750 0.675
2 Te 0.751 0.250 0.325
3 Te 0.749 0.250 0.825
4 Te 0.251 0.750 0.175
5 Sm 0.249 0.750 0.853
6 Sm 0.751 0.250 0.147
7 Sm 0.749 0.250 0.647
8 Sm 0.251 0.750 0.353
9 Hg 0.750 0.750 0.000
10 Hg 0.250 0.250 0.000
11 Hg 0.250 0.250 0.500
12 Hg 0.750 0.750 0.500